First-principles (SCAN) data for KMnTl2 at its PBEsol-relaxed geometry, as listed in Alexandria via LeMat-Bulk.

Unit cell a=3.2687 b=4.6447 c=7.8825 alpha=96.37 beta=90.00 gamma=110.60
Last column: nearest neighbours and their distance in Å.
Sites, in units of the cell vectors:
K: 0.5000 0.0000 0.0000  2 K 3.27, 6 Tl 3.44-3.56
Mn: 0.0000 0.0000 0.5000  6 Tl 2.82-2.90
Tl: 0.7404 0.4808 0.6834  3 Mn 2.82-2.90
Tl: 0.2596 0.5192 0.3166  3 Mn 2.82-2.90

Results
- Volume: 111.2 Å³/cell
- Magnetization: 4.136 μB/cell
- Energy: -171.14 eV for the cell shown
- E above lowest polymorph: 0.098 eV/atom
- DFT formation energy: 0.04 eV per atom


First-principles (SCAN) data for KMnTl2 at its PBEsol-relaxed geometry, as listed in Alexandria via LeMat-Bulk.

Unit cell a=3.3331 b=4.2992 c=7.9964 alpha=90.00 beta=90.00 gamma=90.00
Last column: nearest neighbours and their distance in Å.
Sites, in units of the cell vectors:
K: 0.0000 0.0000 0.5054  2 K 3.33, 5 Tl 3.48-3.64
Mn: 0.5000 0.5000 0.8513  5 Tl 2.81
Tl: 0.0000 0.0000 0.9407  4 Mn 2.81
Tl: 0.5000 0.5000 0.2026  1 Mn 2.81

Results
- Volume: 114.6 Å³/cell
- Magnetization: 4.395 μB/cell
- Energy: -170.83 eV for the cell shown
- E above lowest polymorph: 0.174 eV/atom
- DFT formation energy: 0.12 eV per atom


First-principles (SCAN) data for KMnTl2 at its PBEsol-relaxed geometry, as listed in Alexandria via LeMat-Bulk.

Unit cell a=3.4624 b=3.4624 c=8.4145 alpha=90.00 beta=90.00 gamma=90.00
Last column: nearest neighbours and their distance in Å.
Sites, in units of the cell vectors:
K: 0.5000 0.5000 0.0000  4 K 3.46, 8 Tl 3.56
Mn: 0.5000 0.5000 0.5000  8 Tl 2.94
Tl: 0.0000 0.0000 0.6931  4 Mn 2.94, 1 Tl 3.25
Tl: 0.0000 0.0000 0.3069  4 Mn 2.94, 1 Tl 3.25

Results
- Volume: 100.9 Å³/cell
- Magnetization: 4.167 μB/cell
- Energy: -171.53 eV for the cell shown
- E above lowest polymorph: 0.000 eV/atom
- DFT formation energy: -0.06 eV per atom


First-principles (SCAN) data for KMn3Tl at its PBEsol-relaxed geometry, as listed in Alexandria via LeMat-Bulk.

Unit cell a=5.2121 b=5.2121 c=5.2121 alpha=90.00 beta=90.00 gamma=90.00
Last column: nearest neighbours and their distance in Å.
Sites, in units of the cell vectors:
Tl: 0.0000 0.0000 0.0000  6 Mn 2.61
Mn: 0.0000 0.5000 0.0000  2 Tl 2.61
Mn: 0.0000 0.0000 0.5000  2 Tl 2.61
Mn: 0.5000 0.0000 0.0000  2 Tl 2.61
K: 0.5000 0.5000 0.5000  12 Mn 3.69

Results
- Volume: 141.6 Å³/cell
- Magnetization: 13.308 μB/cell
- Energy: -132.40 eV for the cell shown
- DFT formation energy: 0.61 eV per atom


First-principles (SCAN) data for KMn2W at its PBEsol-relaxed geometry, as listed in Alexandria via LeMat-Bulk.

Unit cell a=2.9518 b=2.9518 c=9.7919 alpha=81.33 beta=81.33 gamma=60.00
Last column: nearest neighbours and their distance in Å.
Sites, in units of the cell vectors:
K: 0.0000 0.0000 0.0000  6 K 2.95
Mn: 0.2309 0.2309 0.3074  3 W 2.52
Mn: 0.7691 0.7691 0.6926  3 W 2.52
W: 0.5000 0.5000 0.5000  6 Mn 2.52

Results
- Volume: 72.8 Å³/cell
- Magnetization: 6.142 μB/cell
- Energy: -111.54 eV for the cell shown
- E above lowest polymorph: 0.000 eV/atom
- DFT formation energy: 0.75 eV per atom


First-principles (SCAN) data for KMn3W at its PBEsol-relaxed geometry, as listed in Alexandria via LeMat-Bulk.

Unit cell a=4.8174 b=4.8174 c=4.8174 alpha=90.00 beta=90.00 gamma=90.00
Last column: nearest neighbours and their distance in Å.
Sites, in units of the cell vectors:
K: 0.5000 0.5000 0.5000  12 Mn 3.41
Mn: 0.0000 0.5000 0.0000  2 W 2.41
Mn: 0.0000 0.0000 0.5000  2 W 2.41
Mn: 0.5000 0.0000 0.0000  2 W 2.41
W: 0.0000 0.0000 0.0000  6 Mn 2.41

Results
- Volume: 111.8 Å³/cell
- Magnetization: 10.729 μB/cell
- Energy: -128.02 eV for the cell shown
- DFT formation energy: 0.95 eV per atom


First-principles (SCAN) data for KMn2W at its PBEsol-relaxed geometry, as listed in Alexandria via LeMat-Bulk.

Unit cell a=4.5766 b=4.5766 c=4.5766 alpha=60.00 beta=60.00 gamma=60.00
Last column: nearest neighbours and their distance in Å.
Sites, in units of the cell vectors:
K: 0.0000 0.0000 0.0000  8 Mn 2.80
Mn: 0.2500 0.2500 0.2500  4 W 2.80, 4 K 2.80
Mn: 0.7500 0.7500 0.7500  4 W 2.80, 4 K 2.80
W: 0.5000 0.5000 0.5000  8 Mn 2.80

Results
- Volume: 67.8 Å³/cell
- Magnetization: 5.625 μB/cell
- Energy: -109.47 eV for the cell shown
- E above lowest polymorph: 0.519 eV/atom
- DFT formation energy: 1.27 eV per atom


First-principles (SCAN) data for KY3Mn at its PBEsol-relaxed geometry, as listed in Alexandria via LeMat-Bulk.

Unit cell a=5.2097 b=5.2097 c=5.2097 alpha=90.00 beta=90.00 gamma=90.00
Last column: nearest neighbours and their distance in Å.
Sites, in units of the cell vectors:
Y: 0.0000 0.5000 0.0000  2 K 2.60
Y: 0.0000 0.0000 0.5000  2 K 2.60
Y: 0.5000 0.0000 0.0000  2 K 2.60
K: 0.0000 0.0000 0.0000  6 Y 2.60
Mn: 0.5000 0.5000 0.5000  12 Y 3.68

Results
- Volume: 141.4 Å³/cell
- Magnetization: 4.515 μB/cell
- Energy: -103.62 eV for the cell shown
- DFT formation energy: 1.30 eV per atom